The following is a DFT calculation (PBE with a Hubbard U) of an optimized crystal structure of KMnBeO3.

Summary:
Electronic total energy ... -75.18 eV per cell
Total moment ... 4.0 μB/cell

POSCAR file:
```
KMnBeO3
1.0
7.181 0.000 0.000
0.000 2.987 0.000
-2.746 0.000 6.812
K Mn Be O
2 2 2 6
Direct
0.217 0.250 0.233 K
0.783 0.750 0.767 K
0.337 0.750 0.855 Mn
0.663 0.250 0.145 Mn
0.087 0.250 0.608 Be
0.913 0.750 0.392 Be
0.143 0.250 0.839 O
0.156 0.750 0.547 O
0.481 0.750 0.144 O
0.519 0.250 0.856 O
0.844 0.250 0.453 O
0.857 0.750 0.161 O
```